Entry 1:
Here is crystalline SmY6Tm3 at its relaxed geometry from Alexandria. Energies are from PBE.

Structure (CIF):
```
data_SmY6Tm3
_chemical_formula_sum 'Sm2 Y12 Tm6'
_cell_length_a 11.4907
_cell_length_b 11.4907
_cell_length_c 6.3836
_cell_angle_alpha 90.00
_cell_angle_beta 90.00
_cell_angle_gamma 130.38
_symmetry_space_group_name_H-M 'P 1'
_symmetry_Int_Tables_number 1
loop_
_symmetry_equiv_pos_as_xyz
'x,y,z'
loop_
_atom_site_label
_atom_site_type_symbol
_atom_site_fract_x
_atom_site_fract_y
_atom_site_fract_z
Sm1 Sm 0.1618 0.8382 0.5000
Sm2 Sm 0.8382 0.1618 0.0000
Y1 Y 0.0155 0.9845 0.3013
Y2 Y 0.1047 0.5421 0.8153
Y3 Y 0.2613 0.3785 0.0595
Y4 Y 0.3010 0.6990 0.2732
Y5 Y 0.3785 0.2613 0.5595
Y6 Y 0.4579 0.8953 0.8153
Y7 Y 0.5421 0.1047 0.3153
Y8 Y 0.6215 0.7387 0.0595
Y9 Y 0.6990 0.3010 0.7732
Y10 Y 0.7387 0.6215 0.5595
Y11 Y 0.8953 0.4579 0.3153
Y12 Y 0.9845 0.0155 0.8013
Tm1 Tm 0.0430 0.2952 0.4742
Tm2 Tm 0.2952 0.0430 0.9742
Tm3 Tm 0.4176 0.5824 0.5845
Tm4 Tm 0.5824 0.4176 0.0845
Tm5 Tm 0.7048 0.9570 0.4742
Tm6 Tm 0.9570 0.7048 0.9742
```

As for the crystal system: orthorhombic. The calculation puts the formation energy at 11.4 kJ per mole of atoms.



Entry 2:
Here is crystalline SmYTm2 at its relaxed geometry from Alexandria. Energies are from PBE.

Structure (CIF):
```
data_SmYTm2
_chemical_formula_sum 'Sm1 Y1 Tm2'
_cell_length_a 5.6551
_cell_length_b 5.6551
_cell_length_c 5.6551
_cell_angle_alpha 60.00
_cell_angle_beta 60.00
_cell_angle_gamma 60.00
_symmetry_space_group_name_H-M 'P 1'
_symmetry_Int_Tables_number 1
loop_
_symmetry_equiv_pos_as_xyz
'x,y,z'
loop_
_atom_site_label
_atom_site_type_symbol
_atom_site_fract_x
_atom_site_fract_y
_atom_site_fract_z
Sm1 Sm 0.0000 0.0000 0.0000
Y1 Y 0.5000 0.5000 0.5000
Tm1 Tm 0.2500 0.2500 0.2500
Tm2 Tm 0.7500 0.7500 0.7500
```

As for the crystal system: cubic. The calculation puts the formation energy at 11.6 kJ per mole of atoms.



Entry 3:
Here is crystalline Sm2Y3Tm at its relaxed geometry from Alexandria. Energies are from PBE.

Structure (CIF):
```
data_Sm2Y3Tm
_chemical_formula_sum 'Sm4 Y6 Tm2'
_cell_length_a 9.0830
_cell_length_b 9.0830
_cell_length_c 14.2247
_cell_angle_alpha 116.69
_cell_angle_beta 116.69
_cell_angle_gamma 22.29
_symmetry_space_group_name_H-M 'P 1'
_symmetry_Int_Tables_number 1
loop_
_symmetry_equiv_pos_as_xyz
'x,y,z'
loop_
_atom_site_label
_atom_site_type_symbol
_atom_site_fract_x
_atom_site_fract_y
_atom_site_fract_z
Sm1 Sm 0.1567 0.1567 0.4703
Sm2 Sm 0.3194 0.3194 0.1192
Sm3 Sm 0.6806 0.6806 0.8808
Sm4 Sm 0.8433 0.8433 0.5297
Y1 Y 0.0988 0.0988 0.0255
Y2 Y 0.2381 0.2381 0.2922
Y3 Y 0.4626 0.4626 0.7859
Y4 Y 0.5374 0.5374 0.2141
Y5 Y 0.7619 0.7619 0.7078
Y6 Y 0.9012 0.9012 0.9745
Tm1 Tm 0.0632 0.0632 0.6423
Tm2 Tm 0.9368 0.9368 0.3577
```

As for the crystal system: monoclinic. The calculation puts the formation energy at 11.5 kJ per mole of atoms.



Entry 4:
Here is crystalline Sm12YTm5 at its relaxed geometry from Alexandria. Energies are from PBE.

Structure (CIF):
```
data_Sm12YTm5
_chemical_formula_sum 'Sm12 Y1 Tm5'
_cell_length_a 10.7452
_cell_length_b 5.0801
_cell_length_c 10.7650
_cell_angle_alpha 90.00
_cell_angle_beta 90.24
_cell_angle_gamma 90.00
_symmetry_space_group_name_H-M 'P 1'
_symmetry_Int_Tables_number 1
loop_
_symmetry_equiv_pos_as_xyz
'x,y,z'
loop_
_atom_site_label
_atom_site_type_symbol
_atom_site_fract_x
_atom_site_fract_y
_atom_site_fract_z
Sm1 Sm 0.0016 0.0000 0.1672
Sm2 Sm 0.1661 0.5000 0.6662
Sm3 Sm 0.1686 0.5000 0.0016
Sm4 Sm 0.3327 0.0000 0.4985
Sm5 Sm 0.3352 0.0000 0.8351
Sm6 Sm 0.4983 0.5000 0.3315
Sm7 Sm 0.5017 0.5000 0.6685
Sm8 Sm 0.6648 0.0000 0.1649
Sm9 Sm 0.6673 0.0000 0.5015
Sm10 Sm 0.8314 0.5000 0.9984
Sm11 Sm 0.8339 0.5000 0.3338
Sm12 Sm 0.9984 0.0000 0.8328
Y1 Y 0.0000 0.0000 0.5000
Tm1 Tm 0.1673 0.5000 0.3327
Tm2 Tm 0.3333 0.0000 0.1667
Tm3 Tm 0.5000 0.5000 0.0000
Tm4 Tm 0.6667 0.0000 0.8333
Tm5 Tm 0.8327 0.5000 0.6673
```

As for the crystal system: monoclinic. The calculation puts the formation energy at 2.1 kJ per mole of atoms.



Entry 5:
Here is crystalline Sm2Y7Tm at its relaxed geometry from Alexandria. Energies are from PBE.

Structure (CIF):
```
data_Sm2Y7Tm
_chemical_formula_sum 'Sm2 Y7 Tm1'
_cell_length_a 6.1807
_cell_length_b 7.1513
_cell_length_c 7.9843
_cell_angle_alpha 102.91
_cell_angle_beta 97.30
_cell_angle_gamma 106.74
_symmetry_space_group_name_H-M 'P 1'
_symmetry_Int_Tables_number 1
loop_
_symmetry_equiv_pos_as_xyz
'x,y,z'
loop_
_atom_site_label
_atom_site_type_symbol
_atom_site_fract_x
_atom_site_fract_y
_atom_site_fract_z
Sm1 Sm 0.1019 0.2005 0.1988
Sm2 Sm 0.8981 0.7995 0.8012
Y1 Y 0.1000 0.6996 0.1986
Y2 Y 0.2996 0.1005 0.5999
Y3 Y 0.2997 0.5994 0.6002
Y4 Y 0.5000 0.0000 0.0000
Y5 Y 0.7003 0.4006 0.3998
Y6 Y 0.7004 0.8995 0.4001
Y7 Y 0.9000 0.3004 0.8014
Tm1 Tm 0.5000 0.5000 0.0000
```

As for the crystal system: triclinic. The calculation puts the formation energy at 2.2 kJ per mole of atoms.



Entry 6:
Here is crystalline SmYTm6 at its relaxed geometry from Alexandria. Energies are from PBE.

Structure (CIF):
```
data_SmYTm6
_chemical_formula_sum 'Sm1 Y1 Tm6'
_cell_length_a 4.9755
_cell_length_b 4.9755
_cell_length_c 9.9389
_cell_angle_alpha 90.00
_cell_angle_beta 90.00
_cell_angle_gamma 90.00
_symmetry_space_group_name_H-M 'P 1'
_symmetry_Int_Tables_number 1
loop_
_symmetry_equiv_pos_as_xyz
'x,y,z'
loop_
_atom_site_label
_atom_site_type_symbol
_atom_site_fract_x
_atom_site_fract_y
_atom_site_fract_z
Sm1 Sm 0.0000 0.0000 0.0000
Y1 Y 0.0000 0.0000 0.5000
Tm1 Tm 0.0000 0.5000 0.2504
Tm2 Tm 0.0000 0.5000 0.7496
Tm3 Tm 0.5000 0.0000 0.2504
Tm4 Tm 0.5000 0.0000 0.7496
Tm5 Tm 0.5000 0.5000 0.0000
Tm6 Tm 0.5000 0.5000 0.5000
```

As for the crystal system: tetragonal. The calculation puts the formation energy at 2.7 kJ per mole of atoms.



Entry 7:
Here is crystalline Sm3Y2Tm2 at its relaxed geometry from Alexandria. Energies are from PBE.

Structure (CIF):
```
data_Sm3Y2Tm2
_chemical_formula_sum 'Sm3 Y2 Tm2'
_cell_length_a 6.1852
_cell_length_b 6.1852
_cell_length_c 10.7149
_cell_angle_alpha 95.70
_cell_angle_beta 95.70
_cell_angle_gamma 33.56
_symmetry_space_group_name_H-M 'P 1'
_symmetry_Int_Tables_number 1
loop_
_symmetry_equiv_pos_as_xyz
'x,y,z'
loop_
_atom_site_label
_atom_site_type_symbol
_atom_site_fract_x
_atom_site_fract_y
_atom_site_fract_z
Sm1 Sm 0.0000 0.0000 0.0000
Sm2 Sm 0.1422 0.1422 0.5695
Sm3 Sm 0.8578 0.8578 0.4305
Y1 Y 0.2848 0.2848 0.1433
Y2 Y 0.7152 0.7152 0.8567
Tm1 Tm 0.4289 0.4289 0.7149
Tm2 Tm 0.5711 0.5711 0.2851
```

As for the crystal system: monoclinic. The calculation puts the formation energy at 1.9 kJ per mole of atoms.



Entry 8:
Here is crystalline SmYTm2 at its relaxed geometry from Alexandria. Energies are from PBE.

Structure (CIF):
```
data_SmYTm2
_chemical_formula_sum 'Sm2 Y2 Tm4'
_cell_length_a 6.2646
_cell_length_b 5.6272
_cell_length_c 7.2471
_cell_angle_alpha 90.00
_cell_angle_beta 90.01
_cell_angle_gamma 90.00
_symmetry_space_group_name_H-M 'P 1'
_symmetry_Int_Tables_number 1
loop_
_symmetry_equiv_pos_as_xyz
'x,y,z'
loop_
_atom_site_label
_atom_site_type_symbol
_atom_site_fract_x
_atom_site_fract_y
_atom_site_fract_z
Sm1 Sm 0.0000 0.0000 0.0000
Sm2 Sm 0.3354 0.5000 0.0008
Y1 Y 0.3326 0.5000 0.4976
Y2 Y 0.5019 0.0000 0.7471
Tm1 Tm 0.5014 0.0000 0.2516
Tm2 Tm 0.8301 0.5000 0.2522
Tm3 Tm 0.8338 0.5000 0.7458
Tm4 Tm 0.9968 0.0000 0.4980
```

As for the crystal system: monoclinic. The calculation puts the formation energy at 0.9 kJ per mole of atoms.



Entry 9:
Here is crystalline SmY14Tm at its relaxed geometry from Alexandria. Energies are from PBE.

Structure (CIF):
```
data_SmY14Tm
_chemical_formula_sum 'Sm1 Y14 Tm1'
_cell_length_a 7.1422
_cell_length_b 7.1422
_cell_length_c 10.0702
_cell_angle_alpha 90.00
_cell_angle_beta 90.00
_cell_angle_gamma 90.00
_symmetry_space_group_name_H-M 'P 1'
_symmetry_Int_Tables_number 1
loop_
_symmetry_equiv_pos_as_xyz
'x,y,z'
loop_
_atom_site_label
_atom_site_type_symbol
_atom_site_fract_x
_atom_site_fract_y
_atom_site_fract_z
Sm1 Sm 0.0000 0.0000 0.0000
Y1 Y 0.0000 0.0000 0.5000
Y2 Y 0.0000 0.5000 0.0000
Y3 Y 0.0000 0.5000 0.5000
Y4 Y 0.2507 0.2507 0.2493
Y5 Y 0.2507 0.2507 0.7507
Y6 Y 0.2507 0.7493 0.2493
Y7 Y 0.2507 0.7493 0.7507
Y8 Y 0.5000 0.0000 0.0000
Y9 Y 0.5000 0.0000 0.5000
Y10 Y 0.5000 0.5000 0.5000
Y11 Y 0.7493 0.2507 0.2493
Y12 Y 0.7493 0.2507 0.7507
Y13 Y 0.7493 0.7493 0.2493
Y14 Y 0.7493 0.7493 0.7507
Tm1 Tm 0.5000 0.5000 0.0000
```

As for the crystal system: tetragonal. The calculation puts the formation energy at 2.1 kJ per mole of atoms.